The following is a PBE with a Hubbard U calculation of TbCoO after structural relaxation, from Alexandria via LeMat-Bulk.

The structure in POSCAR format:
```
TbCoO
1.0
1.912 1.104 8.404
-1.912 1.104 8.404
0.000 -2.208 8.404
Tb Co O
2 2 2
direct
0.225 0.225 0.225
0.775 0.775 0.775
0.343 0.343 0.343
0.657 0.657 0.657
0.131 0.131 0.131
0.869 0.869 0.869
```

**Space-group type**: No. 166
**Total energy**: -6.4354 eV/atom